# 1
Computed, not measured: an optimized crystal structure of Th3Zn2Co7 at the GGA-PBE level of DFT.

Unit cell a=8.5301 b=8.5301 c=8.5301 alpha=35.29 beta=35.29 gamma=35.29
Last column: nearest neighbours and their distance in Å.
Fractional positions:
Th (0.0000, 0.0000, 0.0000)  6 Zn 2.99, 12 Co 3.28, 2 Th 3.33
Th (0.1388, 0.1388, 0.1388)  12 Co 2.90-3.06
Th (0.8612, 0.8612, 0.8612)  12 Co 2.90-3.06
Zn (0.3337, 0.3337, 0.3337)  6 Co 2.50-2.51
Zn (0.6663, 0.6663, 0.6663)  6 Co 2.50-2.51
Co (0.0838, 0.5840, 0.5840)  5 Co 2.48-2.59, 2 Zn 2.50-2.51
Co (0.4160, 0.4160, 0.9162)  5 Co 2.48-2.59, 2 Zn 2.50-2.51
Co (0.4160, 0.9162, 0.4160)  5 Co 2.48-2.59, 2 Zn 2.50-2.51
Co (0.5000, 0.5000, 0.5000)  6 Co 2.48
Co (0.5840, 0.0838, 0.5840)  5 Co 2.48-2.59, 2 Zn 2.50-2.51
Co (0.5840, 0.5840, 0.0838)  5 Co 2.48-2.59, 2 Zn 2.50-2.51
Co (0.9162, 0.4160, 0.4160)  5 Co 2.48-2.59, 2 Zn 2.50-2.51

Values from the calculation:
**Energy of formation**: -0.21 eV per atom
**M_tot**: 0.318 μB per formula unit
**Total DFT energy (no corrections)**: -6.419 eV/atom
**SG**: R-3m, No. 166

***

# 2
Computed, not measured: an optimized crystal structure of Tb6YEr4 at the GGA-PBE level of DFT.

Unit cell a=5.5804 b=5.5804 c=25.5327 alpha=90.00 beta=90.00 gamma=118.61
Last column: nearest neighbours and their distance in Å.
Fractional positions:
Tb (0.0000, 0.0000, 0.0000)  8 Er 3.13-3.49
Tb (0.0000, 0.0000, 0.5000)  8 Er 3.13-3.49
Tb (0.0303, 0.9697, 0.7500)  3 Y 3.22-3.26, 2 Er 3.27
Tb (0.3063, 0.6937, 0.1031)  5 Er 3.28-3.55
Tb (0.3063, 0.6937, 0.3969)  5 Er 3.28-3.55
Tb (0.3631, 0.6369, 0.6814)  7 Tb 3.50-3.84, 4 Er 3.52-3.62, 3 Y 3.64-3.71
Tb (0.3631, 0.6369, 0.8186)  7 Tb 3.50-3.84, 4 Er 3.52-3.62, 3 Y 3.64-3.71
Tb (0.6369, 0.3631, 0.1814)  7 Tb 3.50-3.84, 4 Er 3.52-3.62, 3 Y 3.64-3.71
Tb (0.6369, 0.3631, 0.3186)  7 Tb 3.50-3.84, 4 Er 3.52-3.62, 3 Y 3.64-3.71
Tb (0.6937, 0.3063, 0.6031)  5 Er 3.28-3.55
Tb (0.6937, 0.3063, 0.8969)  5 Er 3.28-3.55
Tb (0.9697, 0.0303, 0.2500)  3 Y 3.22-3.26, 2 Er 3.27
Y (0.3049, 0.6951, 0.2500)  3 Tb 3.22-3.26
Y (0.6951, 0.3049, 0.7500)  3 Tb 3.22-3.26
Er (0.0328, 0.9672, 0.6219)  5 Tb 3.13-3.29
Er (0.0328, 0.9672, 0.8781)  5 Tb 3.13-3.29
Er (0.3451, 0.6549, 0.5429)  8 Tb 3.40-3.75, 2 Er 3.61-3.69
Er (0.3451, 0.6549, 0.9571)  8 Tb 3.40-3.75, 2 Er 3.61-3.69
Er (0.6549, 0.3451, 0.0429)  8 Tb 3.40-3.75, 2 Er 3.61-3.69
Er (0.6549, 0.3451, 0.4571)  8 Tb 3.40-3.75, 2 Er 3.61-3.69
Er (0.9672, 0.0328, 0.1219)  5 Tb 3.13-3.29
Er (0.9672, 0.0328, 0.3781)  5 Tb 3.13-3.29

Values from the calculation:
**Energy of formation**: 0.12 eV per atom
**M_tot**: 0.000 μB per formula unit
**Distance to the lowest polymorph of the same formula**: 0.0 meV per atom
**Total DFT energy (no corrections)**: -4.647 eV/atom
**SG**: Cmcm, No. 63

***

# 3
Computed, not measured: an optimized crystal structure of BeSb2Se at the GGA-PBE level of DFT.

Unit cell a=6.6758 b=6.6758 c=6.6758 alpha=145.66 beta=145.66 gamma=49.35
Last column: nearest neighbours and their distance in Å.
Fractional positions:
Be (0.0000, 0.0000, 0.0000)  4 Sb 2.79
Sb (0.2500, 0.7500, 0.5000)  4 Se 2.79
Sb (0.5000, 0.5000, 0.0000)  4 Be 2.79
Se (0.7500, 0.2500, 0.5000)  4 Sb 2.79

Values from the calculation:
**M_tot**: 0.000 μB per formula unit
**Distance to the lowest polymorph of the same formula**: 600.9 meV per atom
**Energy relative to the elements, uncorrected**: 0.522 eV/atom
**Total DFT energy (no corrections)**: -3.342 eV/atom
**SG**: I-4m2, No. 119

***

# 4
Computed, not measured: an optimized crystal structure of Zr2TlBr8 at the GGA-PBE level of DFT.

Unit cell a=8.6611 b=8.6611 c=7.2318 alpha=91.52 beta=91.52 gamma=79.85
Last column: nearest neighbours and their distance in Å.
Fractional positions:
Zr (0.1850, 0.1850, 0.3514)  4 Br 2.49-2.55
Zr (0.8150, 0.8150, 0.6486)  4 Br 2.49-2.55
Tl (0.0000, 0.0000, 0.0000)  6 Br 3.41-3.43, 2 Zr 3.47
Br (0.0988, 0.6837, 0.7055)  1 Zr 2.55
Br (0.1936, 0.1936, 0.7022)  1 Zr 2.54
Br (0.3163, 0.9012, 0.2945)  1 Zr 2.55
Br (0.3554, 0.3554, 0.2196)  1 Zr 2.49
Br (0.6446, 0.6446, 0.7804)  1 Zr 2.49
Br (0.6837, 0.0988, 0.7055)  1 Zr 2.55
Br (0.8064, 0.8064, 0.2978)  1 Zr 2.54
Br (0.9012, 0.3163, 0.2945)  1 Zr 2.55

Values from the calculation:
**M_tot**: 1.019 μB per formula unit
**Energy relative to the elements, uncorrected**: -1.142 eV/atom
**Total DFT energy (no corrections)**: -4.128 eV/atom
**SG**: C2/m, No. 12

***

total DFT energy (no corrections) of number 4 (Zr2TlBr8)? -4.128 eV/atom